Na2CaMoO4 | GGA+U | optimized geometry

Cell: 5.7441 3.2874 5.8152 Å, 90.00 109.59 90.00°
Sites, in units of the cell vectors:
1 Na 0.0000 0.0000 0.0000
2 Na 0.5000 0.5000 0.0000
3 Ca 0.0000 0.5000 0.5000
4 Mo 0.5000 0.0000 0.5000
5 O 0.2741 0.0000 0.7068
6 O 0.2834 0.5000 0.2889
7 O 0.7166 0.5000 0.7111
8 O 0.7259 0.0000 0.2932

Symmetry: P2/m, No. 10
Total energy: -47.7 eV for the cell shown